A relaxed Nb2FeGe4 crystal. Source: Alexandria via LeMat-Bulk, functional PBE.

The total energy comes out at -6.34 eV per atom.

The space group is I4/mmm (No. 139) and the conventional cell measures 4.582, 4.582 and 12.768 Å, with angles of 90.00, 90.00 and 90.00 degrees. Symmetry generates all atoms from Nb at (0.000, 0.000, 0.108), Fe at (0.000, 0.000, 0.500), Ge at (0.000, 0.000, 0.315) and Ge at (0.000, 0.500, 0.000).


A relaxed SmGdLuPa crystal. Source: Alexandria via LeMat-Bulk, functional PBE.

The total energy comes out at -7.86 eV per atom.

The space group is F-43m (No. 216) and the conventional cell measures 7.879, 7.879 and 7.879 Å, with angles of 90.00, 90.00 and 90.00 degrees. Symmetry generates all atoms from Sm at (0.000, 0.000, 0.000), Gd at (0.000, 0.000, 0.500), Lu at (0.250, 0.250, 0.750) and Pa at (0.250, 0.250, 0.250).


A relaxed Ta3BePd crystal. Source: Alexandria via LeMat-Bulk, functional PBE.

As for the energy relative to the lowest polymorph listed for this composition: 0.00 eV/f.u.

The space group is Pm-3m (No. 221) and the conventional cell measures 4.376, 4.376 and 4.376 Å, with angles of 90.00, 90.00 and 90.00 degrees. Symmetry generates all atoms from Ta at (0.000, 0.000, 0.500), Be at (0.000, 0.000, 0.000) and Pd at (0.500, 0.500, 0.500).